(1)
Compound: Cr3CuTe
Source: the Alexandria database
Functional: GGA-PBEsol
Structure: optimized geometry

The space group is Pm-3m (No. 221) and the conventional cell measures 4.5303, 4.5303 and 4.5303 Å, with angles of 90.00, 90.00 and 90.00 degrees. The inequivalent atoms are Cr at (0.0000, 0.0000, 0.5000), Cu at (0.0000, 0.0000, 0.0000) and Te at (0.5000, 0.5000, 0.5000).

As for the formation energy (no corrections): 1.20 eV per atom. The value obtained for the raw total energy is -32.61 eV/cell.

(2)
Compound: SrZrOF2
Source: the Alexandria database
Functional: GGA-PBEsol
Structure: optimized geometry

The space group is P4/mmm (No. 123) and the conventional cell measures 4.4408, 4.4408 and 4.1405 Å, with angles of 90.00, 90.00 and 90.00 degrees. The inequivalent atoms are Sr at (0.0000, 0.0000, 0.0000), Zr at (0.5000, 0.5000, 0.5000), O at (0.5000, 0.5000, 0.0000) and F at (0.0000, 0.5000, 0.5000).

The polymorph energy (0 for the lowest one) is 0.0 meV per atom. As for the formation energy (no corrections): -2.65 eV per atom. The value obtained for the raw total energy is -33.28 eV/cell.

(3)
Compound: Sc3AsW
Source: the Alexandria database
Functional: GGA-PBEsol
Structure: optimized geometry

The space group is Pm-3m (No. 221) and the conventional cell measures 4.9443, 4.9443 and 4.9443 Å, with angles of 90.00, 90.00 and 90.00 degrees. The inequivalent atoms are Sc at (0.0000, 0.0000, 0.5000), As at (0.5000, 0.5000, 0.5000) and W at (0.0000, 0.0000, 0.0000).

The energy of formation is 0.56 eV per atom. The value obtained for the raw total energy is -35.94 eV/cell.

(4)
Compound: TcPbW2
Source: the Alexandria database
Functional: GGA-PBEsol
Structure: optimized geometry

The space group is Cmmm (No. 65) and the conventional cell measures 5.4257, 8.3368 and 2.9767 Å, with angles of 90.00, 90.00 and 90.00 degrees. The inequivalent atoms are Tc at (0.0000, 0.0000, 0.0000), Pb at (0.0000, 0.5000, 0.0000) and W at (0.2500, 0.2500, 0.5000).

The energy of formation is 0.86 eV per atom. The value obtained for the raw total energy is -78.88 eV/cell.